Entry 1:
Zr2MoPt PBE-GGA relaxed; space group = Cm, No. 8; DOS(E_F) = 1.1018 states/eV/atom; E_form = -1.5 eV per formula unit
1.0
10.451 0.000 0.000
0.000 3.557 0.000
-1.896 0.000 4.035
Zr Mo Pt
4 2 2
Direct
0.000 0.000 0.000
0.238 0.000 0.738
0.500 0.500 0.000
0.738 0.500 0.738
0.499 0.000 0.499
0.999 0.500 0.499
0.250 0.500 0.250
0.750 0.000 0.250


Entry 2:
AlZn7 PBE-GGA relaxed; space group = I4/mmm, No. 139; DOS(E_F) = 0.3037 states/eV/atom; E_form = 0.2 eV per formula unit
1.0
3.939 0.000 0.000
0.000 3.939 0.000
0.000 0.000 15.885
Al Zn
2 14
Direct
0.000 0.000 0.000
0.500 0.500 0.500
0.000 0.000 0.250
0.000 0.000 0.500
0.000 0.000 0.750
0.000 0.500 0.125
0.000 0.500 0.375
0.000 0.500 0.625
0.000 0.500 0.875
0.500 0.000 0.125
0.500 0.000 0.375
0.500 0.000 0.625
0.500 0.000 0.875
0.500 0.500 0.000
0.500 0.500 0.250
0.500 0.500 0.750


Entry 3:
Na2SnPb6 PBE-GGA relaxed; space group = C2/m, No. 12; DOS(E_F) = 0.5191 states/eV/atom; E_form = -0.3 eV per formula unit
1.0
7.999 -1.739 0.000
7.999 1.739 0.000
-6.010 0.000 10.014
Na Sn Pb
2 1 6
Direct
0.159 0.159 0.296
0.841 0.841 0.704
0.500 0.500 0.000
0.115 0.115 0.551
0.268 0.268 0.895
0.454 0.454 0.251
0.546 0.546 0.749
0.732 0.732 0.105
0.885 0.885 0.449


Entry 4:
TaCuAg2 PBE-GGA relaxed; space group = Imm2, No. 44; DOS(E_F) = 0.6769 states/eV/atom; E_form = 1.6 eV per formula unit
1.0
2.797 0.000 0.000
0.000 4.902 0.000
0.000 0.000 9.818
Ta Cu Ag
2 2 4
Direct
0.000 0.000 0.000
0.500 0.500 0.500
0.000 0.500 0.270
0.500 0.000 0.770
0.000 0.000 0.541
0.000 0.500 0.772
0.500 0.000 0.272
0.500 0.500 0.041


Entry 5:
LiPaHO4 PBE-GGA relaxed; space group = Imma, No. 74; DOS(E_F) = 0.4969 states/eV/atom
1.0
-2.646 3.667 4.672
2.646 -3.667 4.672
2.646 3.667 -4.672
Li Pa H O
2 2 2 8
Direct
0.500 0.000 0.000
0.500 0.500 0.500
0.000 0.000 0.000
0.500 0.000 0.500
0.240 0.490 0.750
0.760 0.510 0.250
0.246 0.264 0.518
0.246 0.728 0.982
0.250 0.204 0.046
0.341 0.796 0.546
0.659 0.204 0.454
0.750 0.796 0.954
0.754 0.272 0.018
0.754 0.736 0.482


Entry 6:
ZnAsIr2 PBE-GGA relaxed; space group = Pmm2, No. 25; DOS(E_F) = 0.8470 states/eV/atom; E_form = 0.1 eV per formula unit
1.0
2.903 0.000 0.000
0.000 3.959 0.000
0.000 0.000 5.216
Zn As Ir
1 1 2
Direct
0.000 0.000 0.000
0.500 0.500 0.327
0.000 0.000 0.503
0.500 0.500 0.823


Entry 7:
TiRu2Cl2 PBE-GGA relaxed; space group = P4/mbm, No. 127; DOS(E_F) = 0.8097 states/eV/atom
1.0
7.094 0.000 0.000
0.000 7.094 0.000
0.000 0.000 3.229
Ti Ru Cl
2 4 4
Direct
0.000 0.000 0.000
0.500 0.500 0.000
0.118 0.382 0.500
0.382 0.882 0.500
0.618 0.118 0.500
0.882 0.618 0.500
0.213 0.713 0.000
0.287 0.213 0.000
0.713 0.787 0.000
0.787 0.287 0.000


Entry 8:
KMgICl2 PBE-GGA relaxed; space group = Cmcm, No. 63; DOS(E_F) = 0.0000 states/eV/atom
1.0
2.248 -7.914 0.000
2.248 7.914 0.000
0.000 0.000 8.778
K Mg I Cl
2 2 2 4
Direct
0.219 0.781 0.750
0.781 0.219 0.250
0.500 0.500 0.000
0.500 0.500 0.500
0.018 0.982 0.250
0.982 0.018 0.750
0.353 0.647 0.025
0.353 0.647 0.475
0.647 0.353 0.525
0.647 0.353 0.975


E readings, ordered: -8.88, -1.56, -3.24, -5.02, -7.14, -5.89, -5.50, -3.19 eV per atom